A relaxed BaLiAs2 crystal, computed with GGA-PBE.

Calculated values
**DOS(E_F)**: 0.186 states/eV per atom
**Energy above the lowest structure with this stoichiometry**: 128 meV per atom
**ΔH_f (0 K)**: -677 meV/atom
**SG**: Cm (8)

CIF file:
```
data_BaLiAs2
_cell_length_a 5.824
_cell_length_b 5.824
_cell_length_c 4.657
_cell_angle_alpha 69.44
_cell_angle_beta 69.44
_cell_angle_gamma 49.20
_symmetry_space_group_name_H-M 'P 1'
_symmetry_Int_Tables_number 1
loop_
_symmetry_equiv_pos_as_xyz
'x,y,z'
loop_
_atom_site_label
_atom_site_fract_x
_atom_site_fract_y
_atom_site_fract_z
As1 0.936 0.936 0.188
As2 0.815 0.815 0.801
Ba1 0.546 0.546 0.572
Li1 0.203 0.203 0.939
```